# 1
! SmDy7Mg2 (PBE-GGA, optimized geometry); values from VASP
&SYSTEM
  ibrav = 0, nat = 10, ntyp = 3
/
ATOMIC_SPECIES
Sm 150.36 Sm.upf
Dy 162.50 Dy.upf
Mg 24.30 Mg.upf
CELL_PARAMETERS angstrom
4.372 -8.117 0.000
4.372 8.117 0.000
0.000 0.000 5.309
ATOMIC_POSITIONS crystal
Sm 0.000 0.000 0.000
Dy 0.069 0.296 0.500
Dy 0.212 0.788 0.000
Dy 0.296 0.069 0.500
Dy 0.500 0.500 0.500
Dy 0.704 0.931 0.500
Dy 0.788 0.212 0.000
Dy 0.931 0.704 0.500
Mg 0.298 0.702 0.500
Mg 0.702 0.298 0.500
! Crystal system = orthorhombic
! Total magnetic moment = 0.00 μB per atom
! E_form = 0.584 eV/atom
! Electronic total energy = -3.429 eV/atom

=====

# 2
! Zr3TlGa (PBE-GGA, optimized geometry); values from VASP
&SYSTEM
  ibrav = 0, nat = 20, ntyp = 3
/
ATOMIC_SPECIES
Zr 91.22 Zr.upf
Tl 204.38 Tl.upf
Ga 69.72 Ga.upf
CELL_PARAMETERS angstrom
5.182 -3.237 0.000
5.182 3.237 0.000
-1.685 0.000 13.354
ATOMIC_POSITIONS crystal
Zr 0.068 0.306 0.798
Zr 0.079 0.818 0.880
Zr 0.174 0.426 0.597
Zr 0.182 0.921 0.620
Zr 0.306 0.068 0.298
Zr 0.426 0.174 0.097
Zr 0.574 0.826 0.903
Zr 0.694 0.932 0.702
Zr 0.818 0.079 0.380
Zr 0.826 0.574 0.403
Zr 0.921 0.182 0.120
Zr 0.932 0.694 0.202
Tl 0.291 0.611 0.411
Tl 0.389 0.709 0.089
Tl 0.611 0.291 0.911
Tl 0.709 0.389 0.589
Ga 0.000 0.500 0.000
Ga 0.452 0.548 0.750
Ga 0.500 0.000 0.500
Ga 0.548 0.452 0.250
! Crystal system = monoclinic
! Total magnetic moment = 0.00 μB per atom
! E_form = -0.041 eV/atom
! Electronic total energy = -6.249 eV/atom

=====

# 3
! Er2ScPd (PBE-GGA, optimized geometry); values from VASP
&SYSTEM
  ibrav = 0, nat = 4, ntyp = 3
/
ATOMIC_SPECIES
Er 167.26 Er.upf
Sc 44.96 Sc.upf
Pd 106.42 Pd.upf
CELL_PARAMETERS angstrom
5.050 0.000 0.000
0.000 5.050 0.000
0.000 0.000 3.682
ATOMIC_POSITIONS crystal
Er 0.000 0.500 0.000
Er 0.500 0.000 0.000
Sc 0.000 0.000 0.500
Pd 0.500 0.500 0.500
! Crystal system = tetragonal
! Total magnetic moment = 0.00 μB per atom
! E_form = -0.324 eV/atom
! Electronic total energy = -5.487 eV/atom

=====

# 4
! LiCdBr4 (PBE-GGA, optimized geometry); values from VASP
&SYSTEM
  ibrav = 0, nat = 6, ntyp = 3
/
ATOMIC_SPECIES
Li 6.94 Li.upf
Cd 112.41 Cd.upf
Br 79.90 Br.upf
CELL_PARAMETERS angstrom
0.000 4.597 4.597
4.597 0.000 4.597
4.597 4.597 0.000
ATOMIC_POSITIONS crystal
Li 0.000 0.000 0.000
Cd 0.250 0.250 0.250
Br 0.126 0.625 0.625
Br 0.625 0.126 0.625
Br 0.625 0.625 0.126
Br 0.625 0.625 0.625
! Crystal system = cubic
! Total magnetic moment = 0.39 μB per atom
! Electronic total energy = -1.491 eV/atom

=====

# 5
! La2TcNi (PBE-GGA, optimized geometry); values from VASP
&SYSTEM
  ibrav = 0, nat = 4, ntyp = 3
/
ATOMIC_SPECIES
La 138.91 La.upf
Tc 98.00 Tc.upf
Ni 58.69 Ni.upf
CELL_PARAMETERS angstrom
0.000 3.458 3.458
3.458 0.000 3.458
3.458 3.458 0.000
ATOMIC_POSITIONS crystal
La 0.000 0.000 0.000
La 0.250 0.250 0.250
Tc 0.750 0.750 0.750
Ni 0.500 0.500 0.500
! Crystal system = cubic
! Total magnetic moment = 0.29 μB per atom
! E_form = 0.276 eV/atom
! Electronic total energy = -6.225 eV/atom

=====

# 6
! KAgAu (PBE-GGA, optimized geometry); values from VASP
&SYSTEM
  ibrav = 0, nat = 3, ntyp = 3
/
ATOMIC_SPECIES
K 39.10 K.upf
Ag 107.87 Ag.upf
Au 196.97 Au.upf
CELL_PARAMETERS angstrom
-1.532 2.254 5.683
1.532 -2.254 5.683
1.532 2.254 -5.683
ATOMIC_POSITIONS crystal
K 0.000 0.000 0.000
Ag 0.718 0.718 0.000
Au 0.288 0.288 0.000
! Crystal system = orthorhombic
! Total magnetic moment = 0.00 μB per atom
! E_form = -0.066 eV/atom
! Electronic total energy = -2.475 eV/atom

=====

# 7
! CsAc3Te4O12 (PBE-GGA, optimized geometry); values from VASP
&SYSTEM
  ibrav = 0, nat = 20, ntyp = 4
/
ATOMIC_SPECIES
Cs 132.91 Cs.upf
Ac 227.00 Ac.upf
Te 127.60 Te.upf
O 16.00 O.upf
CELL_PARAMETERS angstrom
6.637 3.832 3.008
-6.637 3.832 3.008
0.000 -7.663 3.008
ATOMIC_POSITIONS crystal
Cs 0.000 0.000 0.000
Ac 0.000 0.552 0.448
Ac 0.448 0.000 0.552
Ac 0.552 0.448 0.000
Te 0.049 0.500 0.951
Te 0.500 0.500 0.500
Te 0.500 0.951 0.049
Te 0.951 0.049 0.500
O 0.060 0.626 0.785
O 0.113 0.887 0.500
O 0.215 0.374 0.940
O 0.345 0.655 0.500
O 0.374 0.940 0.215
O 0.500 0.113 0.887
O 0.500 0.345 0.655
O 0.626 0.785 0.060
O 0.655 0.500 0.345
O 0.785 0.060 0.626
O 0.887 0.500 0.113
O 0.940 0.215 0.374
! Crystal system = trigonal
! Total magnetic moment = 0.02 μB per atom
! Electronic total energy = -5.973 eV/atom

=====

# 8
! HfP2PbS (PBE-GGA, optimized geometry); values from VASP
&SYSTEM
  ibrav = 0, nat = 5, ntyp = 4
/
ATOMIC_SPECIES
Hf 178.49 Hf.upf
P 30.97 P.upf
Pb 207.20 Pb.upf
S 32.06 S.upf
CELL_PARAMETERS angstrom
5.097 0.000 0.000
0.000 5.097 0.000
0.000 0.000 5.101
ATOMIC_POSITIONS crystal
Hf 0.000 0.000 0.000
P 0.000 0.500 0.500
P 0.500 0.000 0.500
Pb 0.500 0.500 0.500
S 0.500 0.500 0.000
! Crystal system = tetragonal
! Total magnetic moment = 0.00 μB per atom
! Electronic total energy = -4.584 eV/atom

=====

# 9
! ReHg2RuC (PBE-GGA, optimized geometry); values from VASP
&SYSTEM
  ibrav = 0, nat = 5, ntyp = 4
/
ATOMIC_SPECIES
Re 186.21 Re.upf
Hg 200.59 Hg.upf
Ru 101.07 Ru.upf
C 12.01 C.upf
CELL_PARAMETERS angstrom
4.675 0.000 0.000
0.000 4.675 0.000
0.000 0.000 3.872
ATOMIC_POSITIONS crystal
Re 0.000 0.000 0.000
Hg 0.000 0.500 0.500
Hg 0.500 0.000 0.500
Ru 0.500 0.500 0.000
C 0.500 0.500 0.500
! Crystal system = tetragonal
! Total magnetic moment = 0.45 μB per atom
! E_form = 1.548 eV/atom
! Electronic total energy = -4.762 eV/atom

=====

# 10
! SiTe4Cl (PBE-GGA, optimized geometry); values from VASP
&SYSTEM
  ibrav = 0, nat = 6, ntyp = 3
/
ATOMIC_SPECIES
Si 28.09 Si.upf
Te 127.60 Te.upf
Cl 35.45 Cl.upf
CELL_PARAMETERS angstrom
0.000 4.423 4.423
4.423 0.000 4.423
4.423 4.423 0.000
ATOMIC_POSITIONS crystal
Si 0.000 0.000 0.000
Te 0.124 0.625 0.625
Te 0.625 0.124 0.625
Te 0.625 0.625 0.124
Te 0.625 0.625 0.625
Cl 0.250 0.250 0.250
! Crystal system = cubic
! Total magnetic moment = 0.00 μB per atom
! Electronic total energy = -2.797 eV/atom

=====

# 11
! HgBi4 (PBE-GGA, optimized geometry); values from VASP
&SYSTEM
  ibrav = 0, nat = 10, ntyp = 2
/
ATOMIC_SPECIES
Hg 200.59 Hg.upf
Bi 208.98 Bi.upf
CELL_PARAMETERS angstrom
7.159 0.000 0.000
0.000 7.574 0.000
-4.338 0.000 6.685
ATOMIC_POSITIONS crystal
Hg 0.000 0.000 0.250
Hg 0.000 0.000 0.750
Bi 0.184 0.382 0.200
Bi 0.184 0.618 0.700
Bi 0.402 0.250 0.883
Bi 0.402 0.750 0.383
Bi 0.598 0.250 0.617
Bi 0.598 0.750 0.117
Bi 0.816 0.382 0.300
Bi 0.816 0.618 0.800
! Crystal system = monoclinic
! Total magnetic moment = 0.00 μB per atom
! E_form = 0.087 eV/atom
! Electronic total energy = -3.078 eV/atom

=====

# 12
! AgRh2NF (PBE-GGA, optimized geometry); values from VASP
&SYSTEM
  ibrav = 0, nat = 5, ntyp = 4
/
ATOMIC_SPECIES
Ag 107.87 Ag.upf
Rh 102.91 Rh.upf
N 14.01 N.upf
F 19.00 F.upf
CELL_PARAMETERS angstrom
5.158 0.000 0.000
0.000 5.158 0.000
0.000 0.000 3.764
ATOMIC_POSITIONS crystal
Ag 0.000 0.000 0.000
Rh 0.000 0.500 0.000
Rh 0.500 0.000 0.000
N 0.000 0.000 0.500
F 0.500 0.500 0.500
! Crystal system = tetragonal
! Total magnetic moment = 0.97 μB per atom
! Electronic total energy = -3.818 eV/atom

=====

# 13
! Cs5NpTe4 (PBE-GGA, optimized geometry); values from VASP
&SYSTEM
  ibrav = 0, nat = 10, ntyp = 3
/
ATOMIC_SPECIES
Cs 132.91 Cs.upf
Np 237.00 Np.upf
Te 127.60 Te.upf
CELL_PARAMETERS angstrom
11.479 -2.605 0.000
11.479 2.605 0.000
-4.092 0.000 8.802
ATOMIC_POSITIONS crystal
Cs 0.000 0.000 0.000
Cs 0.328 0.328 0.585
Cs 0.329 0.329 0.067
Cs 0.671 0.671 0.933
Cs 0.672 0.672 0.415
Np 0.000 0.000 0.500
Te 0.159 0.159 0.661
Te 0.500 0.500 0.290
Te 0.500 0.500 0.710
Te 0.841 0.841 0.339
! Crystal system = monoclinic
! Total magnetic moment = 0.40 μB per atom
! Electronic total energy = -3.804 eV/atom

=====

# 14
! Pb2N2O3 (PBE-GGA, optimized geometry); values from VASP
&SYSTEM
  ibrav = 0, nat = 7, ntyp = 3
/
ATOMIC_SPECIES
Pb 207.20 Pb.upf
N 14.01 N.upf
O 16.00 O.upf
CELL_PARAMETERS angstrom
3.394 0.000 0.000
1.694 6.262 0.000
0.043 1.483 7.546
ATOMIC_POSITIONS crystal
Pb 0.000 0.000 0.000
Pb 0.300 0.396 0.166
N 0.134 0.730 0.617
N 0.197 0.601 0.536
O 0.378 0.247 0.934
O 0.686 0.625 0.134
O 0.914 0.165 0.252
! Crystal system = triclinic
! Total magnetic moment = 0.00 μB per atom
! Electronic total energy = -6.105 eV/atom

=====

# 15
! Ac4NdSm (PBE-GGA, optimized geometry); values from VASP
&SYSTEM
  ibrav = 0, nat = 6, ntyp = 3
/
ATOMIC_SPECIES
Ac 227.00 Ac.upf
Nd 144.24 Nd.upf
Sm 150.36 Sm.upf
CELL_PARAMETERS angstrom
5.099 -2.939 0.000
5.099 2.939 0.000
-3.414 0.000 9.632
ATOMIC_POSITIONS crystal
Ac 0.124 0.124 0.373
Ac 0.375 0.375 0.124
Ac 0.625 0.625 0.876
Ac 0.876 0.876 0.627
Nd 0.500 0.500 0.500
Sm 0.000 0.000 0.000
! Crystal system = monoclinic
! Total magnetic moment = 0.00 μB per atom
! E_form = 0.583 eV/atom
! Electronic total energy = -3.737 eV/atom

=====

# 16
! BeAlSe (PBE-GGA, optimized geometry); values from VASP
&SYSTEM
  ibrav = 0, nat = 6, ntyp = 3
/
ATOMIC_SPECIES
Be 9.01 Be.upf
Al 26.98 Al.upf
Se 78.96 Se.upf
CELL_PARAMETERS angstrom
4.981 -2.722 0.000
4.981 2.722 0.000
-1.827 0.000 3.915
ATOMIC_POSITIONS crystal
Be 0.215 0.785 0.000
Be 0.785 0.215 0.000
Al 0.019 0.019 0.508
Al 0.502 0.502 0.449
Se 0.318 0.318 0.725
Se 0.682 0.682 0.079
! Crystal system = monoclinic
! Total magnetic moment = 0.00 μB per atom
! Electronic total energy = -3.848 eV/atom

=====

# 17
! La7Er2Tm (PBE-GGA, optimized geometry); values from VASP
&SYSTEM
  ibrav = 0, nat = 10, ntyp = 3
/
ATOMIC_SPECIES
La 138.91 La.upf
Er 167.26 Er.upf
Tm 168.93 Tm.upf
CELL_PARAMETERS angstrom
4.434 -8.252 0.000
4.434 8.252 0.000
0.000 0.000 5.785
ATOMIC_POSITIONS crystal
La 0.000 0.000 0.000
La 0.207 0.432 0.000
La 0.271 0.729 0.500
La 0.432 0.207 0.000
La 0.568 0.793 0.000
La 0.729 0.271 0.500
La 0.793 0.568 0.000
Er 0.206 0.794 0.000
Er 0.794 0.206 0.000
Tm 0.500 0.500 0.500
! Crystal system = orthorhombic
! Total magnetic moment = 0.00 μB per atom
! E_form = 0.601 eV/atom
! Electronic total energy = -4.208 eV/atom

=====

# 18
! Ac6GeTe3Rh2 (PBE-GGA, optimized geometry); values from VASP
&SYSTEM
  ibrav = 0, nat = 12, ntyp = 4
/
ATOMIC_SPECIES
Ac 227.00 Ac.upf
Ge 72.64 Ge.upf
Te 127.60 Te.upf
Rh 102.91 Rh.upf
CELL_PARAMETERS angstrom
3.898 -6.758 0.000
3.898 6.758 0.000
-2.631 0.000 7.934
ATOMIC_POSITIONS crystal
Ac 0.084 0.430 0.786
Ac 0.226 0.226 0.213
Ac 0.430 0.084 0.786
Ac 0.570 0.916 0.214
Ac 0.774 0.774 0.787
Ac 0.916 0.570 0.214
Ge 0.500 0.500 0.000
Te 0.000 0.000 0.500
Te 0.338 0.662 0.500
Te 0.662 0.338 0.500
Rh 0.167 0.833 0.000
Rh 0.833 0.167 0.000
! Crystal system = monoclinic
! Total magnetic moment = 0.00 μB per atom
! Electronic total energy = -5.557 eV/atom

=====

# 19
! CoH3 (PBE-GGA, optimized geometry); values from VASP
&SYSTEM
  ibrav = 0, nat = 4, ntyp = 2
/
ATOMIC_SPECIES
Co 58.93 Co.upf
H 1.01 H.upf
CELL_PARAMETERS angstrom
-1.170 1.330 4.046
1.170 -1.330 4.046
1.170 1.330 -4.046
ATOMIC_POSITIONS crystal
Co 0.000 0.000 0.000
H 0.141 0.641 0.500
H 0.500 0.500 0.000
H 0.859 0.359 0.500
! Crystal system = orthorhombic
! Total magnetic moment = 0.00 μB per atom
! Electronic total energy = -4.041 eV/atom

=====

# 20
! Hf3Zr7 (PBE-GGA, optimized geometry); values from VASP
&SYSTEM
  ibrav = 0, nat = 20, ntyp = 2
/
ATOMIC_SPECIES
Hf 178.49 Hf.upf
Zr 91.22 Zr.upf
CELL_PARAMETERS angstrom
9.857 0.000 0.000
-4.929 8.536 0.000
0.000 0.000 5.571
ATOMIC_POSITIONS crystal
Hf 0.208 0.416 0.000
Hf 0.208 0.792 0.000
Hf 0.416 0.208 0.500
Hf 0.584 0.792 0.000
Hf 0.792 0.208 0.500
Hf 0.792 0.584 0.500
Zr 0.058 0.529 0.645
Zr 0.111 0.223 0.485
Zr 0.111 0.889 0.485
Zr 0.223 0.111 0.985
Zr 0.333 0.667 0.349
Zr 0.471 0.529 0.645
Zr 0.471 0.942 0.645
Zr 0.529 0.058 0.145
Zr 0.529 0.471 0.145
Zr 0.667 0.333 0.849
Zr 0.777 0.889 0.485
Zr 0.889 0.111 0.985
Zr 0.889 0.777 0.985
Zr 0.942 0.471 0.145
! Crystal system = hexagonal
! Total magnetic moment = 0.00 μB per atom
! E_form = 0.177 eV/atom
! Electronic total energy = -8.793 eV/atom